Entry from the Alexandria database: an optimized crystal structure of K2NpSc2Se6 (PBE).

POSCAR file:
```
K2NpSc2Se6
1.0
-3.349 -5.978 -1.196
1.843 1.751 6.475
-6.373 5.064 -0.790
K Np Sc Se
2 1 2 6
Cartesian
-2.490 -4.700 0.073 K
0.984 0.472 5.206 K
-3.186 2.532 -0.395 Np
-3.072 1.710 3.526 Sc
-4.807 -0.873 0.963 Sc
-5.516 0.469 3.261 Se
-3.895 3.845 2.004 Se
-2.363 0.368 1.228 Se
-5.669 1.204 -0.618 Se
-3.984 -3.008 2.485 Se
-2.210 -0.367 5.107 Se
```

Total magnetization ... 0.273 μB per atom
Uncorrected energy ... -0.435 Ry/atom
Formation energy (no corrections) ... -16.363 eV/f.u.
Space group ... C2/m (12)

---

Entry from the Alexandria database: an optimized crystal structure of BaNi2Ir (PBE).

POSCAR file:
```
BaNi2Ir
1.0
3.144 0.000 0.000
0.000 3.144 0.000
0.000 0.000 7.352
Ba Ir Ni
1 1 2
Cartesian
0.000 0.000 3.624 Ba
1.572 1.572 6.133 Ir
0.000 0.000 0.015 Ni
1.572 1.572 1.256 Ni
```

Total magnetization ... 0.127 μB per atom
Uncorrected energy ... -0.378 Ry/atom
Excess energy over the best structure of this formula in the dataset ... 0.555 eV/atom
Space group ... P4mm (99)

---

Entry from the Alexandria database: an optimized crystal structure of RbLiIn2Br8 (PBE).

POSCAR file:
```
RbLiIn2Br8
1.0
9.340 -1.079 0.000
-5.110 7.892 0.000
-2.115 -3.407 8.504
Rb Li In Br
1 1 2 8
Cartesian
0.000 0.000 0.000 Rb
-2.555 3.946 4.252 Li
4.670 -0.540 4.252 In
2.115 3.407 0.000 In
2.621 -1.347 2.937 Br
0.106 3.021 1.503 Br
0.545 -1.972 7.001 Br
4.855 -2.734 5.567 Br
4.124 3.792 1.503 Br
6.719 0.268 2.937 Br
4.485 1.655 5.567 Br
-0.545 1.972 7.001 Br
```

Total magnetization ... 0.000 μB per atom
Uncorrected energy ... -0.210 Ry/atom
Formation energy (no corrections) ... -12.605 eV/f.u.
Space group ... I-4m2 (119)

---

Entry from the Alexandria database: an optimized crystal structure of Sr2CdRh (PBE).

POSCAR file:
```
Sr2CdRh
1.0
4.384 -0.018 -0.009
2.256 3.759 -0.009
2.147 1.209 8.189
Cd Rh Sr
1 1 2
Cartesian
6.590 3.713 6.128 Cd
2.197 1.238 2.043 Rh
6.634 3.737 0.464 Sr
4.400 2.479 3.602 Sr
```

Total magnetization ... 0.000 μB per atom
Uncorrected energy ... -0.219 Ry/atom
Space group ... C2/m (12)

---

Entry from the Alexandria database: an optimized crystal structure of Y2ZnRu (PBE).

POSCAR file:
```
Y2ZnRu
1.0
-1.022 0.410 -4.711
-2.537 -3.461 -2.235
-4.542 0.867 -1.423
Ru Y Zn
1 2 1
Cartesian
-4.051 -1.092 -4.185 Ru
0.000 0.000 0.000 Y
-6.076 -1.638 -6.278 Y
-2.025 -0.546 -2.093 Zn
```

Total magnetization ... 0.000 μB per atom
Uncorrected energy ... -0.434 Ry/atom
Space group ... F-43m (216)

---

Entry from the Alexandria database: an optimized crystal structure of Sr3SnN (PBE).

POSCAR file:
```
Sr3SnN
1.0
7.354 0.036 -0.040
-3.476 5.916 0.036
-0.398 1.579 7.461
Sr Sn N
6 2 2
Cartesian
-0.315 6.751 5.434 Sr
3.834 5.957 6.080 Sr
2.730 1.099 0.959 Sr
0.586 3.388 4.221 Sr
4.663 4.115 3.057 Sr
-0.945 3.368 7.297 Sr
5.750 0.748 2.991 Sn
1.643 4.465 1.025 Sn
1.148 2.164 6.346 N
-1.507 4.592 5.172 N
```

Total magnetization ... 0.000 μB per atom
Uncorrected energy ... -0.297 Ry/atom
Formation energy (no corrections) ... -2.830 eV/f.u.
Space group ... P-1 (2)

---

Entry from the Alexandria database: an optimized crystal structure of NbVBi3 (PBE).

POSCAR file:
```
NbVBi3
1.0
-0.623 1.874 4.890
2.541 -4.197 1.932
4.579 2.584 -0.407
Nb Bi V
1 3 1
Cartesian
3.248 0.131 3.207 Nb
1.271 -2.099 0.966 Bi
2.289 1.292 -0.204 Bi
-0.311 0.937 2.445 Bi
0.000 0.000 0.000 V
```

Total magnetization ... 1.027 μB per atom
Uncorrected energy ... -0.381 Ry/atom
Space group ... Pm-3m (221)

---

Entry from the Alexandria database: an optimized crystal structure of Ba5Na4Ir (PBE).

POSCAR file:
```
Ba5Na4Ir
1.0
-2.987 2.689 -4.768
-9.331 -1.668 0.828
-2.412 8.876 2.439
Ba Na Ir
5 4 1
Cartesian
-9.118 8.213 2.197 Ba
-2.102 6.353 0.830 Ba
-12.623 3.538 -2.322 Ba
-5.607 1.678 -3.688 Ba
-1.491 1.342 -2.379 Ba
-10.169 6.968 -1.923 Na
-6.323 6.528 -0.503 Na
-8.400 3.363 -0.987 Na
-4.554 2.922 0.433 Na
-2.984 2.686 -4.763 Ir
```

Total magnetization ... 0.000 μB per atom
Uncorrected energy ... -0.179 Ry/atom
Space group ... I4/mmm (139)

---

Entry from the Alexandria database: an optimized crystal structure of Zn2HgTe (PBE).

POSCAR file:
```
Zn2HgTe
1.0
3.895 -0.023 0.000
-1.672 3.518 0.000
0.000 0.000 7.383
Hg Te Zn
1 1 2
Cartesian
1.111 1.747 1.846 Hg
1.111 1.747 5.537 Te
0.000 0.000 7.379 Zn
0.000 0.000 3.696 Zn
```

Total magnetization ... 0.000 μB per atom
Uncorrected energy ... -0.100 Ry/atom
Formation energy (no corrections) ... 0.572 eV/f.u.
Excess energy over the best structure of this formula in the dataset ... 0.166 eV/atom
Space group ... Cmmm (65)

---

Entry from the Alexandria database: an optimized crystal structure of Ni4MoRh (PBE).

POSCAR file:
```
Ni4MoRh
1.0
-1.923 2.463 -3.480
-4.239 1.899 0.544
-0.452 4.639 0.390
Mo Ni Rh
1 4 1
Cartesian
0.000 0.000 0.000 Mo
-3.172 4.394 0.150 Ni
-4.135 5.626 -1.591 Ni
-2.013 4.676 -1.864 Ni
-3.909 3.305 -1.786 Ni
-1.654 2.250 -0.636 Rh
```

Total magnetization ... 0.069 μB per atom
Uncorrected energy ... -0.511 Ry/atom
Excess energy over the best structure of this formula in the dataset ... 0.000 eV/atom
Space group ... F-43m (216)

---

Entry from the Alexandria database: an optimized crystal structure of Pr4In12Pt (PBE).

POSCAR file:
```
Pr4In12Pt
1.0
-3.571 5.955 -4.503
1.557 -6.545 -4.820
-5.081 -2.240 6.137
Pr In Pt
4 12 1
Cartesian
-2.540 -1.120 3.068 Pr
-1.786 2.977 -2.252 Pr
-3.547 -1.415 -1.593 Pr
0.779 -3.272 -2.410 Pr
-1.005 -2.506 0.376 In
-2.518 -6.279 0.941 In
-1.439 -0.422 -6.664 In
-0.574 -0.168 -2.659 In
-2.468 1.060 0.466 In
-6.184 2.655 1.168 In
-5.207 -0.339 1.146 In
-1.888 -2.491 -4.332 In
-4.829 1.710 -1.514 In
-2.265 -4.540 -1.672 In
-3.170 0.634 -4.253 In
-3.925 -3.464 1.067 In
0.000 0.000 0.000 Pt
```

Total magnetization ... 0.000 μB per atom
Uncorrected energy ... -0.288 Ry/atom
Space group ... Im-3m (229)

---

Entry from the Alexandria database: an optimized crystal structure of LaFe2As (PBE).

POSCAR file:
```
LaFe2As
1.0
-2.144 -0.694 -4.186
-1.152 -4.424 1.305
-1.237 3.690 2.730
As Fe La
1 2 1
Cartesian
-2.018 -1.646 1.297 As
0.000 0.000 0.000 Fe
-2.514 0.218 -1.448 Fe
-1.648 -2.559 -1.440 La
```

Total magnetization ... 1.362 μB per atom
Uncorrected energy ... -0.477 Ry/atom
Space group ... I-4m2 (119)

---

Entry from the Alexandria database: an optimized crystal structure of BaTc2P (PBE).

POSCAR file:
```
BaTc2P
1.0
-2.697 0.503 -5.895
-2.226 -3.654 -4.896
-5.477 -1.393 -3.216
Ba Tc P
1 2 1
Cartesian
0.000 0.000 0.000 Ba
-1.866 -0.815 -2.512 Tc
-8.535 -3.729 -11.494 Tc
-5.200 -2.272 -7.003 P
```

Total magnetization ... 0.000 μB per atom
Uncorrected energy ... -0.528 Ry/atom
Space group ... R-3m (166)

---

Entry from the Alexandria database: an optimized crystal structure of SrBiBr6 (PBE).

POSCAR file:
```
SrBiBr6
1.0
-3.843 5.958 -0.965
-6.074 -0.233 -3.816
-6.730 0.591 3.969
Sr Bi Br
1 1 6
Cartesian
-8.324 3.158 -0.406 Sr
0.000 0.000 0.000 Bi
-7.835 0.656 1.363 Br
-8.374 5.033 2.066 Br
-5.247 3.551 -0.470 Br
-8.273 1.283 -2.878 Br
-8.813 5.659 -2.175 Br
-11.401 2.765 -0.342 Br
```

Total magnetization ... 0.000 μB per atom
Uncorrected energy ... -0.219 Ry/atom
Formation energy (no corrections) ... -8.195 eV/f.u.
Space group ... P-1 (2)

---

Entry from the Alexandria database: an optimized crystal structure of Th8PS6 (PBE).

POSCAR file:
```
Th8PS6
1.0
-1.448 2.435 -3.102
2.699 -7.059 -6.802
-9.279 -0.227 4.153
Th P S
8 1 6
Cartesian
-1.049 -5.081 -7.710 Th
-5.504 -3.446 -4.347 Th
-0.542 -0.411 -4.280 Th
-6.979 0.231 1.959 Th
-2.524 -1.404 -1.404 Th
-7.485 -4.439 -1.471 Th
-6.367 -0.685 -1.816 Th
-1.660 -4.165 -3.936 Th
-0.724 1.218 -1.551 P
-0.535 -2.693 -6.153 S
-3.481 -4.454 -6.160 S
-3.138 -1.692 -4.152 S
-7.492 -2.158 0.402 S
-4.546 -0.397 0.409 S
-4.890 -3.159 -1.599 S
```

Total magnetization ... 0.000 μB per atom
Uncorrected energy ... -0.533 Ry/atom
Formation energy (no corrections) ... -19.240 eV/f.u.
Space group ... P-3 (147)